# La2Te4Pb

A geometry-optimized La2Te4Pb structure (PBEsol, the Alexandria database).

Output
SG = I-42d (122)
E_form (uncorrected) = -1.226 eV per atom
total energy = -5.34 eV per atom

Cell: 8.298 8.298 8.298 Å, 109.53 109.53 109.35°
Positions (direct):
1 Pb 0.500 0.500 0.000
2 Pb 0.750 0.250 0.500
3 Te 0.026 0.122 0.751
4 Te 0.525 0.121 0.749
5 Te 0.725 0.974 0.096
6 Te 0.224 0.475 0.596
7 Te 0.879 0.628 0.404
8 Te 0.372 0.776 0.251
9 Te 0.371 0.275 0.249
10 Te 0.878 0.629 0.904
11 La 0.625 0.744 0.619
12 La 0.994 0.375 0.119
13 La 0.125 0.006 0.381
14 La 0.256 0.875 0.881